No. 1
# LaInMo2 (PBE-GGA, optimized geometry)
data_LaInMo2
_space_group_name_H-M_alt 'I -4 2 d'
_space_group_IT_number 122
_space_group_name_Hall 'I -4 2bw'
_cell_length_a 7.9470
_cell_length_b 7.9470
_cell_length_c 5.8349
_cell_angle_alpha 90.00
_cell_angle_beta 90.00
_cell_angle_gamma 90.00
loop_
_atom_site_label
_atom_site_type_symbol
_atom_site_fract_x
_atom_site_fract_y
_atom_site_fract_z
_atom_site_occupancy
La1 La 0.0000 0.0000 0.0000 1
In1 In 0.0000 0.0000 0.5000 1
Mo1 Mo 0.2204 0.2500 0.6250 1
# - formation energy (meV/atom) = 1045
# - VASP energy (eV per cell) = -100.59
# - theoretical density (Mg/m³) = 8.03

---

No. 2
# Er3AlGa4 (PBE-GGA, optimized geometry)
data_Er3AlGa4
_space_group_name_H-M_alt 'I m m m'
_space_group_IT_number 71
_space_group_name_Hall '-I 2 2'
_cell_length_a 3.5752
_cell_length_b 6.2087
_cell_length_c 16.3814
_cell_angle_alpha 90.00
_cell_angle_beta 90.00
_cell_angle_gamma 90.00
loop_
_atom_site_label
_atom_site_type_symbol
_atom_site_fract_x
_atom_site_fract_y
_atom_site_fract_z
_atom_site_occupancy
Er1 Er 0.0000 0.0000 0.0000 1
Er2 Er 0.0000 0.5000 0.2112 1
Al1 Al 0.0000 0.0000 0.5000 1
Ga1 Ga 0.0000 0.2893 0.3765 1
# - formation energy (meV/atom) = -357
# - VASP energy (eV per cell) = -64.79
# - theoretical density (Mg/m³) = 7.38

---

No. 3
# CuTe2Au (PBE-GGA, optimized geometry)
data_CuTe2Au
_space_group_name_H-M_alt 'I m m m'
_space_group_IT_number 71
_space_group_name_Hall '-I 2 2'
_cell_length_a 3.8108
_cell_length_b 6.6379
_cell_length_c 7.8707
_cell_angle_alpha 90.00
_cell_angle_beta 90.00
_cell_angle_gamma 90.00
loop_
_atom_site_label
_atom_site_type_symbol
_atom_site_fract_x
_atom_site_fract_y
_atom_site_fract_z
_atom_site_occupancy
Cu1 Cu 0.0000 0.0000 0.0000 1
Te1 Te 0.0000 0.5000 0.2640 1
Au1 Au 0.0000 0.0000 0.5000 1
# - VASP energy (eV per cell) = -25.19
# - raw formation energy (eV per atom) = 0.27
# - theoretical density (Mg/m³) = 8.60

---

No. 4
# Y2MnIr (PBE-GGA, optimized geometry)
data_Y2MnIr
_space_group_name_H-M_alt 'P 4/m m m'
_space_group_IT_number 123
_space_group_name_Hall '-P 4 2'
_cell_length_a 4.8563
_cell_length_b 4.8563
_cell_length_c 3.5778
_cell_angle_alpha 90.00
_cell_angle_beta 90.00
_cell_angle_gamma 90.00
loop_
_atom_site_label
_atom_site_type_symbol
_atom_site_fract_x
_atom_site_fract_y
_atom_site_fract_z
_atom_site_occupancy
Y1 Y 0.0000 0.5000 0.0000 1
Mn1 Mn 0.0000 0.0000 0.5000 1
Ir1 Ir 0.5000 0.5000 0.5000 1
# - formation energy (meV/atom) = -298
# - VASP energy (eV per cell) = -32.15
# - theoretical density (Mg/m³) = 8.36

---

No. 5
# Pm5Dy6Th2 (PBE-GGA, optimized geometry)
data_Pm5Dy6Th2
_space_group_name_H-M_alt 'P b a m'
_space_group_IT_number 55
_cell_length_a 11.5522
_cell_length_b 20.9632
_cell_length_c 3.5877
_cell_angle_alpha 90.00
_cell_angle_beta 90.00
_cell_angle_gamma 90.00
loop_
_space_group_symop_operation_xyz
'x,y,z'
'-x,-y,-z'
'-x,-y,z'
'x,y,-z'
'x+1/2,-y+1/2,-z'
'-x+1/2,y+1/2,z'
'-x+1/2,y+1/2,-z'
'x+1/2,-y+1/2,z'
loop_
_atom_site_label
_atom_site_type_symbol
_atom_site_fract_x
_atom_site_fract_y
_atom_site_fract_z
_atom_site_occupancy
Pm1 Pm 0.0000 0.0000 0.0000 1
Pm2 Pm 0.0651 0.2943 0.0000 1
Pm3 Pm 0.1907 0.5784 0.0000 1
Dy1 Dy 0.0634 0.1478 0.5000 1
Dy2 Dy 0.0808 0.4376 0.5000 1
Dy3 Dy 0.1855 0.8766 0.0000 1
Th1 Th 0.1887 0.7357 0.5000 1
# - formation energy (meV/atom) = 108
# - VASP energy (eV per cell) = -129.60
# - theoretical density (Mg/m³) = 8.27

---

No. 6
# La12Pr7Y (PBE-GGA, optimized geometry)
data_La12Pr7Y
_space_group_name_H-M_alt 'R -3'
_space_group_IT_number 148
_space_group_name_Hall '-R 3'
_cell_length_a 12.6680
_cell_length_b 12.6680
_cell_length_c 15.7089
_cell_angle_alpha 90.00
_cell_angle_beta 90.00
_cell_angle_gamma 120.00
loop_
_atom_site_label
_atom_site_type_symbol
_atom_site_fract_x
_atom_site_fract_y
_atom_site_fract_z
_atom_site_occupancy
La1 La 0.0217 0.5794 0.2230 1
La2 La 0.0656 0.4736 0.5778 1
Pr1 Pr 0.0000 0.0000 0.0000 1
Pr2 Pr 0.0589 0.8737 0.3012 1
Y1 Y 0.0000 0.0000 0.5000 1
# - distance to the lowest polymorph of the same formula (eV/atom) = 0.000
# - formation energy (meV/atom) = 172
# - VASP energy (eV per cell) = -286.82
# - theoretical density (Mg/m³) = 6.26

---

No. 7
# BaPuBi2Pd2 (PBE-GGA, optimized geometry)
data_BaPuBi2Pd2
_space_group_name_H-M_alt 'P -3 m 1'
_space_group_IT_number 164
_space_group_name_Hall '-P 3 2"'
_cell_length_a 4.8801
_cell_length_b 4.8801
_cell_length_c 8.1761
_cell_angle_alpha 90.00
_cell_angle_beta 90.00
_cell_angle_gamma 120.00
loop_
_atom_site_label
_atom_site_type_symbol
_atom_site_fract_x
_atom_site_fract_y
_atom_site_fract_z
_atom_site_occupancy
Ba1 Ba 0.0000 0.0000 0.0000 1
Pu1 Pu 0.0000 0.0000 0.5000 1
Bi1 Bi 0.3333 0.6667 0.7172 1
Pd1 Pd 0.3333 0.6667 0.3311 1
# - formation energy (meV/atom) = -625
# - VASP energy (eV per cell) = -38.15
# - theoretical density (Mg/m³) = 9.97

---

No. 8
# BeRe2Tc (PBE-GGA, optimized geometry)
data_BeRe2Tc
_space_group_name_H-M_alt 'P 1 2/m 1'
_space_group_IT_number 10
_cell_length_a 2.7372
_cell_length_b 3.8614
_cell_length_c 5.1842
_cell_angle_alpha 90.00
_cell_angle_beta 91.06
_cell_angle_gamma 90.00
loop_
_space_group_symop_operation_xyz
'x,y,z'
'-x,-y,-z'
'-x,y,-z'
'x,-y,z'
loop_
_atom_site_label
_atom_site_type_symbol
_atom_site_fract_x
_atom_site_fract_y
_atom_site_fract_z
_atom_site_occupancy
Be1 Be 0.0000 0.0000 0.0000 1
Re1 Re 0.4842 0.5000 0.2355 1
Tc1 Tc 0.0000 0.0000 0.5000 1
# - formation energy (meV/atom) = 83
# - VASP energy (eV per cell) = -38.66
# - theoretical density (Mg/m³) = 14.53

---

What is the VASP energy in the fifth record?
-129.60 eV per cell